! SrHo5S6, relaxed, DFT PBE-GGA; values from VASP
&SYSTEM
  ibrav = 0, nat = 12, ntyp = 3
/
ATOMIC_SPECIES
Sr 87.62 Sr.upf
S 32.06 S.upf
Ho 164.93 Ho.upf
CELL_PARAMETERS angstrom
-3.942 4.379 3.471
-0.337 -1.938 6.514
4.571 2.327 4.483
ATOMIC_POSITIONS angstrom
Sr 0.000 0.000 0.000
S -1.380 3.879 4.676
S 0.360 0.828 6.152
S -1.083 0.603 2.567
S -3.196 1.838 7.418
S -0.068 3.940 8.316
S 1.672 0.888 9.792
Ho 1.064 3.448 5.821
Ho 1.414 0.131 3.666
Ho -2.140 1.221 4.993
Ho 2.820 0.258 7.330
Ho -0.772 1.320 8.647
! raw formation energy	-1.970	eV/atom